# Ce3Sm2N4, optimized geometry, DFT PBE-GGA
data_Ce3Sm2N4
_chemical_formula_sum 'Ce12 Sm8 N16'
_cell_length_a 7.853
_cell_length_b 7.867
_cell_length_c 12.045
_cell_angle_alpha 90.00
_cell_angle_beta 90.00
_cell_angle_gamma 90.00
_symmetry_space_group_name_H-M 'F m m m'
_symmetry_Int_Tables_number 69
_symmetry_space_group_name_Hall '-F 2 2'
loop_
_atom_site_label
_atom_site_type_symbol
_atom_site_fract_x
_atom_site_fract_y
_atom_site_fract_z
Ce1 Ce 0.000 0.000 0.000
Ce2 Ce 0.250 0.250 0.000
Sm1 Sm 0.000 0.000 0.278
N1 N 0.000 0.235 0.122
# **Total DFT energy (no corrections)**: -0.273 Ha/atom
# **Energy relative to the elements, uncorrected**: -0.707 eV per atom
# **Energy above the most stable polymorph in this dataset**: 591 meV per atom